# Ti2PRu2 | Alexandria | GGA-PBE | relaxed
data_Ti2PRu2
_cell_length_a 7.041
_cell_length_b 7.041
_cell_length_c 3.063
_cell_angle_alpha 90.00
_cell_angle_beta 90.00
_cell_angle_gamma 90.00
_space_group_name_H-M_alt 'P 4/m b m'
_space_group_IT_number 127
_space_group_name_Hall '-P 4 2ab'
loop_
_atom_site_label
_atom_site_type_symbol
_atom_site_fract_x
_atom_site_fract_y
_atom_site_fract_z
Ti1 Ti 0.161 0.339 0.000
P1 P 0.000 0.000 0.500
Ru1 Ru 0.141 0.641 0.500
# volume	76	Å³/f.u.
# magnetization	0.0	μB/f.u.
# ΔH_f (0 K)	-1.31	eV per formula unit

# Ti2PRu | Alexandria | GGA-PBE | relaxed
data_Ti2PRu
_cell_length_a 6.127
_cell_length_b 6.127
_cell_length_c 6.127
_cell_angle_alpha 90.00
_cell_angle_beta 90.00
_cell_angle_gamma 90.00
_space_group_name_H-M_alt 'F m -3 m'
_space_group_IT_number 225
_space_group_name_Hall '-F 4 2 3'
loop_
_atom_site_label
_atom_site_type_symbol
_atom_site_fract_x
_atom_site_fract_y
_atom_site_fract_z
Ti1 Ti 0.250 0.250 0.250
P1 P 0.000 0.000 0.000
Ru1 Ru 0.000 0.000 0.500
# volume	58	Å³/f.u.
# magnetization	0.0	μB/f.u.
# energy above the lowest structure with this stoichiometry	0.00	eV per formula unit
# ΔH_f (0 K)	-1.92	eV per formula unit

# Ti2PRu | Alexandria | GGA-PBE | relaxed
data_Ti2PRu
_cell_length_a 6.790
_cell_length_b 6.790
_cell_length_c 5.351
_cell_angle_alpha 90.00
_cell_angle_beta 90.00
_cell_angle_gamma 90.00
_space_group_name_H-M_alt 'I -4 2 d'
_space_group_IT_number 122
_space_group_name_Hall 'I -4 2bw'
loop_
_atom_site_label
_atom_site_type_symbol
_atom_site_fract_x
_atom_site_fract_y
_atom_site_fract_z
Ti1 Ti 0.242 0.250 0.125
P1 P 0.000 0.000 0.000
Ru1 Ru 0.000 0.000 0.500
# volume	62	Å³/f.u.
# magnetization	0.0	μB/f.u.
# energy above the lowest structure with this stoichiometry	0.72	eV per formula unit
# ΔH_f (0 K)	-1.20	eV per formula unit

# TiPRu | Alexandria | GGA-PBE | relaxed
data_TiPRu
_cell_length_a 7.160
_cell_length_b 10.945
_cell_length_c 6.339
_cell_angle_alpha 90.00
_cell_angle_beta 90.00
_cell_angle_gamma 90.00
_space_group_name_H-M_alt 'I m a 2'
_space_group_IT_number 46
_space_group_name_Hall 'I 2 -2a'
loop_
_atom_site_label
_atom_site_type_symbol
_atom_site_fract_x
_atom_site_fract_y
_atom_site_fract_z
Ti1 Ti 0.250 0.003 0.000
Ti2 Ti 0.250 0.213 0.626
Ti3 Ti 0.250 0.698 0.125
P1 P 0.002 0.666 0.416
P2 P 0.250 0.024 0.415
Ru1 Ru 0.000 0.000 0.666
Ru2 Ru 0.028 0.625 0.791
# volume	41	Å³/f.u.
# magnetization	0.0	μB/f.u.
# ΔH_f (0 K)	-3.05	eV per formula unit

# TiZn2PRu | Alexandria | GGA-PBE | relaxed
data_TiZn2PRu
_cell_length_a 4.358
_cell_length_b 4.358
_cell_length_c 4.570
_cell_angle_alpha 90.00
_cell_angle_beta 90.00
_cell_angle_gamma 90.00
_space_group_name_H-M_alt 'P 4/m m m'
_space_group_IT_number 123
_space_group_name_Hall '-P 4 2'
loop_
_atom_site_label
_atom_site_type_symbol
_atom_site_fract_x
_atom_site_fract_y
_atom_site_fract_z
Ti1 Ti 0.000 0.000 0.000
Zn1 Zn 0.000 0.500 0.500
P1 P 0.000 0.000 0.500
Ru1 Ru 0.500 0.500 0.000
# volume	87	Å³/f.u.
# magnetization	0.0	μB/f.u.
# ΔH_f (0 K)	2.75	eV per formula unit

# Tl2PRu | Alexandria | GGA-PBE | relaxed
data_Tl2PRu
_cell_length_a 3.632
_cell_length_b 4.375
_cell_length_c 5.082
_cell_angle_alpha 90.00
_cell_angle_beta 90.00
_cell_angle_gamma 90.00
_space_group_name_H-M_alt 'P m m m'
_space_group_IT_number 47
_space_group_name_Hall '-P 2 2'
loop_
_atom_site_label
_atom_site_type_symbol
_atom_site_fract_x
_atom_site_fract_y
_atom_site_fract_z
Tl1 Tl 0.000 0.000 0.000
Tl2 Tl 0.500 0.000 0.500
P1 P 0.000 0.500 0.500
Ru1 Ru 0.500 0.500 0.000
# volume	81	Å³/f.u.
# magnetization	0.0	μB/f.u.
# energy above the lowest structure with this stoichiometry	3.10	eV per formula unit
# ΔH_f (0 K)	3.05	eV per formula unit

# TlPRu2 | Alexandria | GGA-PBE | relaxed
data_TlPRu2
_cell_length_a 3.171
_cell_length_b 4.143
_cell_length_c 5.057
_cell_angle_alpha 90.00
_cell_angle_beta 90.00
_cell_angle_gamma 90.00
_space_group_name_H-M_alt 'P m m m'
_space_group_IT_number 47
_space_group_name_Hall '-P 2 2'
loop_
_atom_site_label
_atom_site_type_symbol
_atom_site_fract_x
_atom_site_fract_y
_atom_site_fract_z
Tl1 Tl 0.000 0.000 0.000
P1 P 0.500 0.000 0.500
Ru1 Ru 0.000 0.500 0.500
Ru2 Ru 0.500 0.500 0.000
# volume	66	Å³/f.u.
# magnetization	0.0	μB/f.u.
# energy above the lowest structure with this stoichiometry	2.94	eV per formula unit
# ΔH_f (0 K)	2.73	eV per formula unit

# Tl2PRu | Alexandria | GGA-PBE | relaxed
data_Tl2PRu
_cell_length_a 7.667
_cell_length_b 7.667
_cell_length_c 5.786
_cell_angle_alpha 90.00
_cell_angle_beta 90.00
_cell_angle_gamma 90.00
_space_group_name_H-M_alt 'I -4 2 d'
_space_group_IT_number 122
_space_group_name_Hall 'I -4 2bw'
loop_
_atom_site_label
_atom_site_type_symbol
_atom_site_fract_x
_atom_site_fract_y
_atom_site_fract_z
Tl1 Tl 0.247 0.250 0.125
P1 P 0.000 0.000 0.000
Ru1 Ru 0.000 0.000 0.500
# volume	85	Å³/f.u.
# magnetization	0.5	μB/f.u.
# energy above the lowest structure with this stoichiometry	3.37	eV per formula unit
# ΔH_f (0 K)	3.32	eV per formula unit

# TlPRu2 | Alexandria | GGA-PBE | relaxed
data_TlPRu2
_cell_length_a 3.961
_cell_length_b 4.445
_cell_length_c 7.026
_cell_angle_alpha 90.00
_cell_angle_beta 90.00
_cell_angle_gamma 90.00
_space_group_name_H-M_alt 'C m m m'
_space_group_IT_number 65
_space_group_name_Hall '-C 2 2'
loop_
_atom_site_label
_atom_site_type_symbol
_atom_site_fract_x
_atom_site_fract_y
_atom_site_fract_z
Tl1 Tl 0.000 0.000 0.000
P1 P 0.000 0.000 0.500
Ru1 Ru 0.000 0.500 0.306
# volume	62	Å³/f.u.
# magnetization	0.0	μB/f.u.
# energy above the lowest structure with this stoichiometry	0.40	eV per formula unit
# ΔH_f (0 K)	0.19	eV per formula unit

# Tl2PRu | Alexandria | GGA-PBE | relaxed
data_Tl2PRu
_cell_length_a 6.856
_cell_length_b 6.856
_cell_length_c 6.856
_cell_angle_alpha 90.00
_cell_angle_beta 90.00
_cell_angle_gamma 90.00
_space_group_name_H-M_alt 'F m -3 m'
_space_group_IT_number 225
_space_group_name_Hall '-F 4 2 3'
loop_
_atom_site_label
_atom_site_type_symbol
_atom_site_fract_x
_atom_site_fract_y
_atom_site_fract_z
Tl1 Tl 0.250 0.250 0.250
P1 P 0.000 0.000 0.000
Ru1 Ru 0.000 0.000 0.500
# volume	81	Å³/f.u.
# magnetization	0.0	μB/f.u.
# energy above the lowest structure with this stoichiometry	3.38	eV per formula unit
# ΔH_f (0 K)	3.33	eV per formula unit

# TlPRu2 | Alexandria | GGA-PBE | relaxed
data_TlPRu2
_cell_length_a 3.0244
_cell_length_b 3.0244
_cell_length_c 25.8323
_cell_angle_alpha 90.00
_cell_angle_beta 90.00
_cell_angle_gamma 120.00
_space_group_name_H-M_alt 'R 3 m'
_space_group_IT_number 160
_space_group_name_Hall 'R 3 -2"'
loop_
_atom_site_label
_atom_site_type_symbol
_atom_site_fract_x
_atom_site_fract_y
_atom_site_fract_z
Tl1 Tl 0.0000 0.0000 0.0000
P1 P 0.0000 0.0000 0.7672
Ru1 Ru 0.0000 0.0000 0.2440
Ru2 Ru 0.0000 0.0000 0.4930
# volume	68	Å³/f.u.
# magnetization	0.9	μB/f.u.
# energy above the lowest structure with this stoichiometry	1.65	eV per formula unit
# ΔH_f (0 K)	1.44	eV per formula unit

# TlPRu2 | Alexandria | GGA-PBE | relaxed
data_TlPRu2
_cell_length_a 3.030
_cell_length_b 3.100
_cell_length_c 14.175
_cell_angle_alpha 90.00
_cell_angle_beta 90.00
_cell_angle_gamma 90.00
_space_group_name_H-M_alt 'I m m 2'
_space_group_IT_number 44
_space_group_name_Hall 'I 2 -2'
loop_
_atom_site_label
_atom_site_type_symbol
_atom_site_fract_x
_atom_site_fract_y
_atom_site_fract_z
Tl1 Tl 0.000 0.000 0.000
P1 P 0.000 0.500 0.244
Ru1 Ru 0.000 0.000 0.361
Ru2 Ru 0.000 0.500 0.674
# volume	67	Å³/f.u.
# magnetization	0.0	μB/f.u.
# energy above the lowest structure with this stoichiometry	0.04	eV per formula unit
# ΔH_f (0 K)	-0.17	eV per formula unit